Version w
Entry from the Alexandria database: a geometry-optimized ZrTlSi structure (PBE-GGA).

Output
Total moment = 0.0000 μB per atom
SG = No. 42

a = 6.1110 Å, b = 5.9376 Å, c = 3.4393 Å
α = 76.20°, β = 70.66°, γ = 33.13°
Closest atoms and distances in Å follow each position.
Fractional positions:
Tl (0.6574, 0.6574, 0.3426)  4 Si 2.89-3.23, 2 Zr 3.10
Zr (0.3548, 0.3548, 0.6452)  2 Si 2.65
Si (0.9878, 0.9878, 0.0122)  2 Zr 2.65, 2 Tl 2.89

---

Version x
Entry from the Alexandria database: a geometry-optimized ZrTlSi structure (PBE-GGA).

Output
Total moment = 0.0000 μB per atom
SG = No. 187

a = 4.8742 Å, b = 4.8742 Å, c = 3.0050 Å
α = 90.00°, β = 90.00°, γ = 120.00°
Closest atoms and distances in Å follow each position.
Fractional positions:
Tl (0.6667, 0.3333, 0.1669)  3 Si 2.81, 2 Tl 3.00
Si (0.0000, 0.0000, 0.1664)  3 Tl 2.81, 2 Si 3.00
Zr (0.3333, 0.6667, 0.6667)  2 Zr 3.00, 6 Si 3.19, 6 Tl 3.19

---

Short version: version x is the least stable of them.

---

Version w
Entry from the Alexandria database: a geometry-optimized ZrTlSi structure (PBE-GGA).

Output
Total moment = 0.0000 μB per atom
SG = No. 44

a = 5.9382 Å, b = 5.9382 Å, c = 5.9382 Å
α = 149.04°, β = 143.00°, γ = 49.00°
Closest atoms and distances in Å follow each position.
Fractional positions:
Zr (0.3632, 0.3632, 0.0000)  4 Si 2.76
Si (0.9777, 0.9777, 0.0000)  4 Zr 2.76
Tl (0.6591, 0.6591, 0.0000)  5 Si 3.15-3.44, 2 Tl 3.17, 5 Zr 3.20-3.31

---

Version x
Entry from the Alexandria database: a geometry-optimized ZrTlSi structure (PBE-GGA).

Output
Total moment = 0.0000 μB per atom
SG = No. 216

a = 4.7216 Å, b = 4.7216 Å, c = 4.7216 Å
α = 60.00°, β = 60.00°, γ = 60.00°
Closest atoms and distances in Å follow each position.
Fractional positions:
Zr (0.7500, 0.7500, 0.7500)  4 Si 2.89, 4 Tl 2.89
Si (0.0000, 0.0000, 0.0000)  4 Zr 2.89
Tl (0.5000, 0.5000, 0.5000)  4 Zr 2.89

---

Version y
Entry from the Alexandria database: a geometry-optimized ZrTlSi structure (PBE-GGA).

Output
Total moment = 0.0000 μB per atom
SG = No. 156

a = 3.2095 Å, b = 3.2095 Å, c = 7.2603 Å
α = 90.00°, β = 90.00°, γ = 120.00°
Closest atoms and distances in Å follow each position.
Fractional positions:
Si (0.0000, 0.0000, 0.9866)  3 Zr 2.85, 3 Tl 3.07
Zr (0.3333, 0.6667, 0.6889)  3 Si 2.85
Tl (0.6667, 0.3333, 0.3245)  3 Si 3.07, 6 Tl 3.21, 3 Zr 3.23

---

Short version: version x is the least stable of them.

---

Version w
Entry from the Alexandria database: a geometry-optimized Zr3TlSi structure (PBE-GGA).

Output
Total moment = 0.0000 μB per atom
SG = No. 221

a = 4.9609 Å, b = 4.9609 Å, c = 4.9609 Å
α = 90.00°, β = 90.00°, γ = 90.00°
Closest atoms and distances in Å follow each position.
Fractional positions:
Zr (0.0000, 0.5000, 0.0000)  2 Si 2.48
Tl (0.5000, 0.5000, 0.5000)  12 Zr 3.51
Zr (0.0000, 0.0000, 0.5000)  2 Si 2.48
Zr (0.5000, 0.0000, 0.0000)  2 Si 2.48
Si (0.0000, 0.0000, 0.0000)  6 Zr 2.48

---

Version x
Entry from the Alexandria database: a geometry-optimized Zr3TlSi structure (PBE-GGA).

Output
Total moment = 0.2378 μB per atom
SG = No. 221

a = 5.2771 Å, b = 5.2771 Å, c = 5.2771 Å
α = 90.00°, β = 90.00°, γ = 90.00°
Closest atoms and distances in Å follow each position.
Fractional positions:
Si (0.5000, 0.5000, 0.5000)  12 Zr 3.73
Zr (0.0000, 0.5000, 0.0000)  2 Tl 2.64
Zr (0.5000, 0.0000, 0.0000)  2 Tl 2.64
Zr (0.0000, 0.0000, 0.5000)  2 Tl 2.64
Tl (0.0000, 0.0000, 0.0000)  6 Zr 2.64

---

Short version: version x is the least stable of them.

---

Version w
Entry from the Alexandria database: a geometry-optimized YTmZnSi structure (PBE-GGA).

Output
Total moment = 0.0517 μB per atom
SG = No. 38

a = 4.1509 Å, b = 4.0406 Å, c = 5.7528 Å
α = 90.00°, β = 111.15°, γ = 90.00°
Closest atoms and distances in Å follow each position.
Fractional positions:
Y (0.1435, 0.0000, 0.2870)  4 Zn 3.00, 3 Si 3.03-3.13
Zn (0.5711, 0.5000, 0.1422)  2 Si 2.55
Si (0.4255, 0.0000, 0.8511)  2 Zn 2.55
Tm (0.8599, 0.5000, 0.7197)  4 Si 2.98, 3 Zn 3.07-3.10

---

Version x
Entry from the Alexandria database: a geometry-optimized YTmZnSi structure (PBE-GGA).

Output
Total moment = 0.0000 μB per atom
SG = No. 216

a = 4.9454 Å, b = 4.9454 Å, c = 4.9454 Å
α = 60.00°, β = 60.00°, γ = 60.00°
Closest atoms and distances in Å follow each position.
Fractional positions:
Y (0.5000, 0.5000, 0.5000)  4 Zn 3.03, 4 Si 3.03
Si (0.2500, 0.2500, 0.2500)  4 Tm 3.03, 4 Y 3.03
Zn (0.7500, 0.7500, 0.7500)  4 Tm 3.03, 4 Y 3.03
Tm (0.0000, 0.0000, 0.0000)  4 Zn 3.03, 4 Si 3.03

---

Short version: version x is the least stable of them.